4
Lattice="4.167 0.000 0.000 0.000 4.167 0.000 0.000 0.000 3.894" Properties=species:S:1:pos:R:3 comment="TlZn2W | Alexandria | PBE | relaxed" spacegroup=P4/mmm total_magnetization_mub_per_cell=0.3 de_polymorph_ev_per_atom=0.1818 formation_enthalpy_0k_ev_per_atom=0.6073 pbc="T T T"
Tl 0.000 0.000 0.000
Zn 0.000 2.083 1.947
Zn 2.083 0.000 1.947
W 2.083 2.083 0.000

4
Lattice="2.867 -4.180 0.000 2.867 4.180 0.000 0.000 0.000 2.897" Properties=species:S:1:pos:R:3 comment="TlZn2W | Alexandria | PBE | relaxed" spacegroup=Cmmm total_magnetization_mub_per_cell=0.0 de_polymorph_ev_per_atom=0.0986 formation_enthalpy_0k_ev_per_atom=0.5241 pbc="T T T"
Tl 0.000 0.000 0.000
Zn 1.433 2.090 1.448
Zn 1.433 -2.090 1.448
W 2.867 0.000 0.000

4
Lattice="3.685 0.000 0.000 0.000 3.685 0.000 0.000 0.000 5.929" Properties=species:S:1:pos:R:3 comment="Tl2ZnW | Alexandria | PBE | relaxed" spacegroup=P4/mmm total_magnetization_mub_per_cell=0.0 de_polymorph_ev_per_atom=0.2769 formation_enthalpy_0k_ev_per_atom=0.8792 pbc="T T T"
Tl 0.000 0.000 1.468
Tl 0.000 0.000 4.461
Zn 1.842 1.842 2.964
W 1.842 1.842 0.000

4
Lattice="-1.478 2.449 5.019 1.478 -2.449 5.019 1.478 2.449 -5.019" Properties=species:S:1:pos:R:3 comment="TlZn2W | Alexandria | PBE | relaxed" spacegroup=Immm total_magnetization_mub_per_cell=0.0 de_polymorph_ev_per_atom=0.1589 formation_enthalpy_0k_ev_per_atom=0.5844 pbc="T T T"
Tl 0.000 0.000 0.000
Zn 1.478 0.000 2.740
Zn 0.000 2.449 2.280
W 0.000 0.000 5.019

4
Lattice="1.618 -2.410 0.000 1.618 2.410 0.000 0.000 0.000 9.528" Properties=species:S:1:pos:R:3 comment="TlZnW2 | Alexandria | PBE | relaxed" spacegroup=Cmm2 total_magnetization_mub_per_cell=0.0 de_polymorph_ev_per_atom=0.0000 formation_enthalpy_0k_ev_per_atom=0.5178 pbc="T T T"
Tl 0.000 0.000 0.000
Zn 1.618 0.000 6.862
W 0.000 0.000 4.697
W 1.618 0.000 2.662

4
Lattice="2.946 0.000 0.000 0.000 3.694 0.000 0.000 0.000 6.550" Properties=species:S:1:pos:R:3 comment="TlZn2W | Alexandria | PBE | relaxed" spacegroup=Pmm2 total_magnetization_mub_per_cell=0.0 de_polymorph_ev_per_atom=0.1833 formation_enthalpy_0k_ev_per_atom=0.6088 pbc="T T T"
Tl 0.000 0.000 0.000
Zn 0.000 0.000 3.266
Zn 1.473 1.847 4.614
W 1.473 1.847 1.936

8
Lattice="-1.927 1.927 10.085 1.927 -1.927 10.085 1.927 1.927 -10.085" Properties=species:S:1:pos:R:3 comment="TlZnW2 | Alexandria | PBE | relaxed" spacegroup=I-42d total_magnetization_mub_per_cell=0.0 de_polymorph_ev_per_atom=0.4447 formation_enthalpy_0k_ev_per_atom=0.9625 pbc="T T T"
Tl 0.000 0.000 0.000
Tl 0.000 1.927 5.042
Zn 1.927 0.000 5.042
Zn 0.000 0.000 10.085
W 0.964 -0.894 7.564
W 1.034 0.964 2.521
W 0.964 2.821 -2.521
W 0.894 0.964 12.606

4
Lattice="1.977 -2.085 0.000 1.977 2.085 0.000 0.000 0.000 9.077" Properties=species:S:1:pos:R:3 comment="TlZn2W | Alexandria | PBE | relaxed" spacegroup=Cmmm total_magnetization_mub_per_cell=0.0 de_polymorph_ev_per_atom=0.0000 formation_enthalpy_0k_ev_per_atom=0.4255 pbc="T T T"
Tl 0.000 0.000 0.000
Zn 1.977 0.000 2.640
Zn 1.977 0.000 6.437
W 0.000 0.000 4.539

4
Lattice="3.211 0.000 0.000 0.000 4.593 0.000 0.000 0.000 4.698" Properties=species:S:1:pos:R:3 comment="TlZnW2 | Alexandria | PBE | relaxed" spacegroup=Pmmm total_magnetization_mub_per_cell=0.0 de_polymorph_ev_per_atom=0.2195 formation_enthalpy_0k_ev_per_atom=0.7373 pbc="T T T"
Tl 0.000 0.000 0.000
Zn 1.606 2.296 0.000
W 0.000 2.296 2.349
W 1.606 0.000 2.349

4
Lattice="1.561 0.901 10.044 -1.561 0.901 10.044 0.000 -1.803 10.044" Properties=species:S:1:pos:R:3 comment="Tl2ZnW | Alexandria | PBE | relaxed" spacegroup=R3m total_magnetization_mub_per_cell=0.0 de_polymorph_ev_per_atom=0.0420 formation_enthalpy_0k_ev_per_atom=0.6443 pbc="T T T"
Tl 0.000 0.000 0.000
Tl 0.000 0.000 7.069
Zn 0.000 0.000 14.546
W 0.000 0.000 22.572

4
Lattice="5.087 0.000 0.000 0.000 2.920 0.000 -2.013 0.000 4.696" Properties=species:S:1:pos:R:3 comment="TlZn2W | Alexandria | PBE | relaxed" spacegroup=P2/m total_magnetization_mub_per_cell=0.0 de_polymorph_ev_per_atom=0.1228 formation_enthalpy_0k_ev_per_atom=0.5484 pbc="T T T"
Tl 0.000 0.000 0.000
Zn -1.006 1.460 2.348
Zn 1.537 0.000 2.348
W 2.544 1.460 0.000

4
Lattice="2.965 0.000 0.000 0.000 2.965 0.000 0.000 0.000 9.934" Properties=species:S:1:pos:R:3 comment="Tl2ZnW | Alexandria | PBE | relaxed" spacegroup=P4mm total_magnetization_mub_per_cell=0.0 de_polymorph_ev_per_atom=0.0000 formation_enthalpy_0k_ev_per_atom=0.6023 pbc="T T T"
Tl 0.000 0.000 0.000
Tl 1.482 1.482 3.154
Zn 1.482 1.482 7.383
W 0.000 0.000 5.618

4
Lattice="3.344 0.000 0.000 0.000 3.344 0.000 0.000 0.000 6.403" Properties=species:S:1:pos:R:3 comment="TlZnW2 | Alexandria | PBE | relaxed" spacegroup=P4mm total_magnetization_mub_per_cell=0.0 de_polymorph_ev_per_atom=0.0224 formation_enthalpy_0k_ev_per_atom=0.5402 pbc="T T T"
Tl 0.000 0.000 0.000
Zn 1.672 1.672 4.698
W 0.000 0.000 3.220
W 1.672 1.672 1.971

4
Lattice="1.600 -2.346 0.000 1.600 2.346 0.000 0.000 0.000 9.317" Properties=species:S:1:pos:R:3 comment="TlZnW2 | Alexandria | PBE | relaxed" spacegroup=Cmmm total_magnetization_mub_per_cell=0.0 de_polymorph_ev_per_atom=0.2858 formation_enthalpy_0k_ev_per_atom=0.8036 pbc="T T T"
Tl 0.000 0.000 0.000
Zn 0.000 0.000 4.659
W 1.600 0.000 2.475
W 1.600 0.000 6.842

4
Lattice="0.000 3.307 3.307 3.307 0.000 3.307 3.307 3.307 0.000" Properties=species:S:1:pos:R:3 comment="TlZn2W | Alexandria | PBE | relaxed" spacegroup=F-43m total_magnetization_mub_per_cell=1.8 de_polymorph_ev_per_atom=0.5227 formation_enthalpy_0k_ev_per_atom=0.9482 pbc="T T T"
Tl 0.000 0.000 0.000
Zn 3.307 3.307 3.307
Zn 4.960 4.960 4.960
W 1.653 1.653 1.653